This record from the Alexandria database describes a relaxed SrSiP2 crystal. The functional is GGA-PBE.

Structure (POSCAR):
```
SrSiP2
1.0
-3.438 3.438 3.928
3.438 -3.438 3.928
3.438 3.438 -3.928
Sr Si P
2 2 4
Direct
0.000 0.000 0.000
0.750 0.250 0.500
0.250 0.750 0.500
0.500 0.500 0.000
0.217 0.125 0.592
0.375 0.783 0.908
0.533 0.625 0.408
0.875 0.467 0.092
```

Computed properties:
Formation energy from raw total energies = -689 meV/atom
Spin magnetization = 0.00 μB per atom